--- 1 ---
This record from Alexandria via LeMat-Bulk describes crystalline CsRb3Ga at its relaxed geometry. The functional is PBE-GGA.

abc: 7.2446 7.2446 7.2446
angles: 90.00 90.00 90.00
With the nearest neighbours (Å) after each atom.
Atoms (fractional coordinates):
Cs (0.0000, 0.0000, 0.0000)  12 Rb 5.12
Rb (0.0000, 0.5000, 0.5000)  2 Ga 3.62
Rb (0.5000, 0.0000, 0.5000)  2 Ga 3.62
Rb (0.5000, 0.5000, 0.0000)  2 Ga 3.62
Ga (0.5000, 0.5000, 0.5000)  6 Rb 3.62

Results
size of the total moment: 0.00 μB per formula unit

***

--- 2 ---
This record from Alexandria via LeMat-Bulk describes crystalline CsRb3Ga at its relaxed geometry. The functional is PBE-GGA.

abc: 8.1892 8.1892 8.1892
angles: 90.00 90.00 90.00
With the nearest neighbours (Å) after each atom.
Atoms (fractional coordinates):
Cs (0.0000, 0.0000, 0.0000)  6 Rb 4.09
Rb (0.0000, 0.0000, 0.5000)  2 Cs 4.09
Rb (0.0000, 0.5000, 0.0000)  2 Cs 4.09
Rb (0.5000, 0.0000, 0.0000)  2 Cs 4.09
Ga (0.5000, 0.5000, 0.5000)  12 Rb 5.79

Results
size of the total moment: 0.46 μB per formula unit

***

Most stable: 1 (next structure +516 meV/atom)

***

--- 1 ---
This record from Alexandria via LeMat-Bulk describes crystalline CsRbTl2Ga at its relaxed geometry. The functional is PBE-GGA.

abc: 6.4891 6.4891 7.1298
angles: 90.00 90.00 90.00
With the nearest neighbours (Å) after each atom.
Atoms (fractional coordinates):
Cs (0.0000, 0.0000, 0.0000)  2 Rb 3.56
Rb (0.0000, 0.0000, 0.5000)  4 Tl 3.24, 2 Cs 3.56
Tl (0.0000, 0.5000, 0.5000)  2 Rb 3.24
Tl (0.5000, 0.0000, 0.5000)  2 Rb 3.24
Ga (0.5000, 0.5000, 0.0000)  4 Cs 4.59, 8 Tl 4.82

Results
size of the total moment: 0.00 μB per formula unit

***

--- 2 ---
This record from Alexandria via LeMat-Bulk describes crystalline CsRbTl2Ga at its relaxed geometry. The functional is PBE-GGA.

abc: 5.9054 5.9054 6.7470
angles: 90.00 90.00 90.00
With the nearest neighbours (Å) after each atom.
Atoms (fractional coordinates):
Cs (0.0000, 0.0000, 0.0000)  2 Ga 3.37
Rb (0.5000, 0.5000, 0.0000)  4 Cs 4.18, 8 Tl 4.48
Tl (0.0000, 0.5000, 0.5000)  2 Ga 2.95
Tl (0.5000, 0.0000, 0.5000)  2 Ga 2.95
Ga (0.0000, 0.0000, 0.5000)  4 Tl 2.95

Results
size of the total moment: 0.00 μB per formula unit

***

Most stable: 2 (next structure +584 meV/atom)

***

--- 1 ---
This record from Alexandria via LeMat-Bulk describes crystalline CsGaRe2 at its relaxed geometry. The functional is PBE-GGA.

abc: 4.6721 4.6721 4.6721
angles: 60.00 60.00 60.00
With the nearest neighbours (Å) after each atom.
Atoms (fractional coordinates):
Cs (0.0000, 0.0000, 0.0000)  8 Re 2.86
Ga (0.5000, 0.5000, 0.5000)  8 Re 2.86
Re (0.2500, 0.2500, 0.2500)  4 Ga 2.86, 4 Cs 2.86
Re (0.7500, 0.7500, 0.7500)  4 Cs 2.86, 4 Ga 2.86

Results
size of the total moment: 0.00 μB per formula unit

***

--- 2 ---
This record from Alexandria via LeMat-Bulk describes crystalline CsGaRe2 at its relaxed geometry. The functional is PBE-GGA.

abc: 6.2919 6.2919 6.2919
angles: 100.54 100.54 129.36
With the nearest neighbours (Å) after each atom.
Atoms (fractional coordinates):
Cs (0.0000, 0.0000, 0.0000)  2 Ga 2.69
Cs (0.7500, 0.2500, 0.5000)  2 Ga 2.69
Ga (0.2500, 0.7500, 0.5000)  4 Re 2.60, 2 Cs 2.69
Ga (0.5000, 0.5000, 0.0000)  4 Re 2.60, 2 Cs 2.69
Re (0.1886, 0.6250, 0.0636)  2 Ga 2.60, 2 Re 2.88
Re (0.3750, 0.4386, 0.5636)  2 Ga 2.60, 2 Re 2.88
Re (0.5614, 0.1250, 0.9364)  2 Ga 2.60, 2 Re 2.88
Re (0.8750, 0.8114, 0.4364)  2 Ga 2.60, 2 Re 2.88

Results
size of the total moment: 0.00 μB per formula unit

***

Most stable: 1 (next structure +11 meV/atom)

***

--- 1 ---
This record from Alexandria via LeMat-Bulk describes crystalline CsGa2Re at its relaxed geometry. The functional is PBE-GGA.

abc: 7.8892 7.8892 7.8892
angles: 122.72 122.72 85.35
With the nearest neighbours (Å) after each atom.
Atoms (fractional coordinates):
Cs (0.3750, 0.6250, 0.7500)  12 Ga 4.47-4.74, 4 Re 4.77, 4 Cs 4.77
Cs (0.6250, 0.3750, 0.2500)  12 Ga 4.47-4.74, 4 Re 4.77, 4 Cs 4.77
Ga (0.0000, 0.0000, 0.0000)  2 Re 2.38
Ga (0.0000, 0.0000, 0.5000)  2 Re 2.38
Ga (0.0000, 0.5000, 0.0000)  2 Re 2.38
Ga (0.5000, 0.0000, 0.5000)  2 Re 2.38
Re (0.1250, 0.8750, 0.2500)  4 Ga 2.38
Re (0.8750, 0.1250, 0.7500)  4 Ga 2.38

Results
size of the total moment: 0.00 μB per formula unit

***

--- 2 ---
This record from Alexandria via LeMat-Bulk describes crystalline CsGa2Re at its relaxed geometry. The functional is PBE-GGA.

abc: 5.1266 5.1266 5.1266
angles: 60.00 60.00 60.00
With the nearest neighbours (Å) after each atom.
Atoms (fractional coordinates):
Cs (0.0000, 0.0000, 0.0000)  8 Ga 3.14
Ga (0.2500, 0.2500, 0.2500)  4 Re 3.14, 4 Cs 3.14
Ga (0.7500, 0.7500, 0.7500)  4 Re 3.14, 4 Cs 3.14
Re (0.5000, 0.5000, 0.5000)  8 Ga 3.14

Results
size of the total moment: 2.99 μB per formula unit

***

Most stable: 1 (next structure +763 meV/atom)

***

--- 1 ---
This record from Alexandria via LeMat-Bulk describes crystalline Cs2GaRh at its relaxed geometry. The functional is PBE-GGA.

abc: 5.8026 5.8026 5.8026
angles: 60.00 60.00 60.00
With the nearest neighbours (Å) after each atom.
Atoms (fractional coordinates):
Cs (0.2500, 0.2500, 0.2500)  4 Rh 3.55, 4 Ga 3.55
Cs (0.7500, 0.7500, 0.7500)  4 Rh 3.55, 4 Ga 3.55
Ga (0.0000, 0.0000, 0.0000)  8 Cs 3.55
Rh (0.5000, 0.5000, 0.5000)  8 Cs 3.55

Results
size of the total moment: 0.00 μB per formula unit

***

--- 2 ---
This record from Alexandria via LeMat-Bulk describes crystalline Cs2GaRh at its relaxed geometry. The functional is PBE-GGA.

abc: 9.3595 9.3595 9.3595
angles: 93.79 93.79 150.22
With the nearest neighbours (Å) after each atom.
Atoms (fractional coordinates):
Cs (0.3750, 0.1965, 0.3215)  2 Rh 3.38, 2 Ga 3.78
Cs (0.8035, 0.1250, 0.1785)  2 Rh 3.38, 2 Ga 3.78
Cs (0.8750, 0.0535, 0.6785)  2 Rh 3.38, 2 Ga 3.78
Cs (0.9465, 0.6250, 0.8215)  2 Rh 3.38, 2 Ga 3.78
Ga (0.2500, 0.7500, 0.5000)  2 Rh 2.41
Ga (0.5000, 0.5000, 0.0000)  2 Rh 2.41
Rh (0.0000, 0.0000, 0.0000)  2 Ga 2.41
Rh (0.7500, 0.2500, 0.5000)  2 Ga 2.41

Results
size of the total moment: 0.00 μB per formula unit

***

Most stable: 2 (next structure +673 meV/atom)

***

--- 1 ---
This record from Alexandria via LeMat-Bulk describes crystalline CsGa2Ru at its relaxed geometry. The functional is PBE-GGA.

abc: 5.1150 5.1150 5.1150
angles: 60.00 60.00 60.00
With the nearest neighbours (Å) after each atom.
Atoms (fractional coordinates):
Cs (0.0000, 0.0000, 0.0000)  8 Ga 3.13
Ga (0.2500, 0.2500, 0.2500)  4 Ru 3.13, 4 Cs 3.13
Ga (0.7500, 0.7500, 0.7500)  4 Ru 3.13, 4 Cs 3.13
Ru (0.5000, 0.5000, 0.5000)  8 Ga 3.13

Results
size of the total moment: 0.94 μB per formula unit

***

--- 2 ---
This record from Alexandria via LeMat-Bulk describes crystalline CsGa2Ru at its relaxed geometry. The functional is PBE-GGA.

abc: 7.9578 7.9578 7.9578
angles: 127.87 127.87 76.83
With the nearest neighbours (Å) after each atom.
Atoms (fractional coordinates):
Cs (0.3750, 0.6250, 0.7500)  8 Ga 4.21, 4 Ru 4.68, 4 Cs 4.68
Cs (0.6250, 0.3750, 0.2500)  8 Ga 4.21, 4 Ru 4.68, 4 Cs 4.68
Ga (0.0000, 0.0000, 0.0000)  2 Ru 2.34
Ga (0.0000, 0.0000, 0.5000)  2 Ru 2.34
Ga (0.0000, 0.5000, 0.0000)  2 Ru 2.34
Ga (0.5000, 0.0000, 0.5000)  2 Ru 2.34
Ru (0.1250, 0.8750, 0.2500)  4 Ga 2.34
Ru (0.8750, 0.1250, 0.7500)  4 Ga 2.34

Results
size of the total moment: 0.00 μB per formula unit

***

Most stable: 2 (next structure +860 meV/atom)

***

--- 1 ---
This record from Alexandria via LeMat-Bulk describes crystalline Cs3GaS3 at its relaxed geometry. The functional is PBE-GGA.

abc: 10.1911 7.0550 10.1911
angles: 90.00 119.80 90.00
With the nearest neighbours (Å) after each atom.
Atoms (fractional coordinates):
Cs (0.1287, 0.2500, 0.3149)  4 S 3.49-3.55
Cs (0.3139, 0.7500, 0.1287)  4 S 3.49-3.55
Cs (0.3158, 0.7500, 0.6852)  4 S 3.49-3.55
Cs (0.6842, 0.2500, 0.3148)  4 S 3.49-3.55
Cs (0.6861, 0.2500, 0.8713)  4 S 3.49-3.55
Cs (0.8713, 0.7500, 0.6851)  4 S 3.49-3.55
Ga (0.1670, 0.2500, 0.8330)  3 S 2.21
Ga (0.8330, 0.7500, 0.1670)  3 S 2.21
S (0.0835, 0.7500, 0.2925)  1 Ga 2.21
S (0.2914, 0.2500, 0.0834)  1 Ga 2.21
S (0.2931, 0.2500, 0.7080)  1 Ga 2.21
S (0.7069, 0.7500, 0.2920)  1 Ga 2.21
S (0.7086, 0.7500, 0.9166)  1 Ga 2.21
S (0.9165, 0.2500, 0.7075)  1 Ga 2.21

Results
size of the total moment: 0.00 μB per formula unit

***

--- 2 ---
This record from Alexandria via LeMat-Bulk describes crystalline Cs3GaS3 at its relaxed geometry. The functional is PBE-GGA.

abc: 9.4150 8.2932 13.5485
angles: 90.00 98.30 90.00
With the nearest neighbours (Å) after each atom.
Atoms (fractional coordinates):
Cs (0.0749, 0.1486, 0.1360)  5 S 3.40-3.66
Cs (0.0749, 0.3514, 0.6360)  5 S 3.40-3.66
Cs (0.3229, 0.7133, 0.7898)  5 S 3.42-3.73
Cs (0.3229, 0.7867, 0.2898)  5 S 3.42-3.73
Cs (0.3872, 0.2224, 0.9243)  4 S 3.49-3.84
Cs (0.3872, 0.2776, 0.4243)  4 S 3.49-3.84
Cs (0.6128, 0.7224, 0.5757)  4 S 3.49-3.84
Cs (0.6128, 0.7776, 0.0757)  4 S 3.49-3.84
Cs (0.6771, 0.2133, 0.7102)  5 S 3.42-3.73
Cs (0.6771, 0.2867, 0.2102)  5 S 3.42-3.73
Cs (0.9251, 0.6486, 0.3640)  5 S 3.40-3.66
Cs (0.9251, 0.8514, 0.8640)  5 S 3.40-3.66
Ga (0.1618, 0.5753, 0.0470)  4 S 2.29-2.40
Ga (0.1618, 0.9247, 0.5470)  4 S 2.29-2.40
Ga (0.8382, 0.0753, 0.4530)  4 S 2.29-2.40
Ga (0.8382, 0.4247, 0.9530)  4 S 2.29-2.40
S (0.0676, 0.0587, 0.3956)  2 Ga 2.39-2.40
S (0.0676, 0.4413, 0.8956)  2 Ga 2.39-2.40
S (0.2391, 0.6675, 0.5236)  1 Ga 2.29
S (0.2391, 0.8325, 0.0236)  1 Ga 2.29
S (0.3386, 0.0624, 0.6461)  1 Ga 2.29
S (0.3386, 0.4376, 0.1461)  1 Ga 2.29
S (0.6614, 0.5624, 0.8539)  1 Ga 2.29
S (0.6614, 0.9376, 0.3539)  1 Ga 2.29
S (0.7609, 0.1675, 0.9764)  1 Ga 2.29
S (0.7609, 0.3325, 0.4764)  1 Ga 2.29
S (0.9324, 0.5587, 0.1044)  2 Ga 2.39-2.40
S (0.9324, 0.9413, 0.6044)  2 Ga 2.39-2.40

Results
size of the total moment: 0.00 μB per formula unit

***

Most stable: 2 (next structure +100 meV/atom)

***

--- 1 ---
This record from Alexandria via LeMat-Bulk describes crystalline CsGa3S at its relaxed geometry. The functional is PBE-GGA.

abc: 6.1136 6.1136 6.1136
angles: 90.00 90.00 90.00
With the nearest neighbours (Å) after each atom.
Atoms (fractional coordinates):
Cs (0.0000, 0.0000, 0.0000)  6 Ga 3.06
Ga (0.0000, 0.0000, 0.5000)  2 Cs 3.06
Ga (0.0000, 0.5000, 0.0000)  2 Cs 3.06
Ga (0.5000, 0.0000, 0.0000)  2 Cs 3.06
S (0.5000, 0.5000, 0.5000)  12 Ga 4.32

Results
size of the total moment: 0.00 μB per formula unit

***

--- 2 ---
This record from Alexandria via LeMat-Bulk describes crystalline CsGa3S at its relaxed geometry. The functional is PBE-GGA.

abc: 5.5911 5.5911 5.5911
angles: 90.00 90.00 90.00
With the nearest neighbours (Å) after each atom.
Atoms (fractional coordinates):
Cs (0.0000, 0.0000, 0.0000)  12 Ga 3.95
Ga (0.0000, 0.5000, 0.5000)  2 S 2.80
Ga (0.5000, 0.0000, 0.5000)  2 S 2.80
Ga (0.5000, 0.5000, 0.0000)  2 S 2.80
S (0.5000, 0.5000, 0.5000)  6 Ga 2.80

Results
size of the total moment: 0.00 μB per formula unit

***

Most stable: 2 (next structure +1103 meV/atom)